The following is a DFT calculation (GGA+U) of an optimized crystal structure of InWN2F.

Computed properties:
The space group is P4/mmm (123). Its size of the total moment is 0.08 μB per atom. The calculation puts the energy above the most stable polymorph in this dataset at 0.000 eV/atom. The calculation puts the energy at -29.61 eV for the cell shown. For the theoretical density, the calculation gives 8.1 g/cm3.

a b c (Å): 4.073 4.073 4.286
angles (deg): 90.00 90.00 90.00
Positions (direct):
In: 0.000 0.000 0.000
W: 0.500 0.500 0.500
N: 0.000 0.500 0.500
N: 0.500 0.000 0.500
F: 0.500 0.500 0.000